No. 1
Computed, not measured: a geometry-optimized PaAl5Fe structure at the GGA-PBE level of DFT.

Formation enthalpy at 0 K   -312 meV/atom
D(E_F)   6.04 states/eV/f.u.
Magnetization   0.0 μB/f.u.

```
PaAl5Fe
1.0
4.244 0.000 0.000
0.000 4.244 0.000
0.000 0.000 6.894
Al Fe Pa
5 1 1
direct
0.500 0.500 0.000 Al
0.000 0.500 0.313 Al
0.500 0.000 0.687 Al
0.000 0.500 0.687 Al
0.500 0.000 0.313 Al
0.000 0.000 0.500 Fe
0.000 0.000 0.000 Pa
```

---

No. 2
Computed, not measured: a geometry-optimized PaAl2Fe structure at the GGA-PBE level of DFT.

Formation enthalpy at 0 K   -15 meV/atom
D(E_F)   4.21 states/eV/f.u.
Magnetization   2.1 μB/f.u.

```
PaAl2Fe
1.0
2.945 0.000 0.000
1.472 2.550 0.000
1.472 0.850 9.313
Al Fe Pa
2 1 1
direct
0.264 0.264 0.208 Al
0.736 0.736 0.792 Al
0.000 0.000 0.000 Fe
0.500 0.500 0.500 Pa
```

---

No. 3
Computed, not measured: a geometry-optimized PaAl2Fe9 structure at the GGA-PBE level of DFT.

Formation enthalpy at 0 K   -114 meV/atom
D(E_F)   14.01 states/eV/f.u.
Magnetization   16.0 μB/f.u.

```
PaAl2Fe9
1.0
-3.771 2.950 -0.496
-3.964 -0.696 2.641
0.346 5.434 6.338
Fe Al Pa
9 2 1
direct
0.918 0.409 0.265 Fe
0.082 0.591 0.735 Fe
0.334 0.334 0.998 Fe
0.500 0.500 0.500 Fe
0.666 0.666 0.002 Fe
0.409 0.918 0.265 Fe
0.591 0.082 0.735 Fe
0.409 0.409 0.265 Fe
0.591 0.591 0.735 Fe
0.856 0.856 0.432 Al
0.144 0.144 0.568 Al
0.000 0.000 0.000 Pa
```